Computed, not measured: a relaxed structure of NaPaAgO6 at the PBE level of DFT.

abc: 5.4573 5.4573 4.7060
angles: 90.00 90.00 120.00
Closest atoms and distances in Å follow each position.
Space group P312 (No. 149)
One atom of each set of equivalent atoms:
1 Na 0.0000 0.0000 0.0000 x1  6 O 2.29
2 Pa 0.6667 0.3333 0.5000 x1  6 O 2.15
3 Ag 0.3333 0.6667 0.0000 x1  6 O 2.06
4 O 0.0094 0.3665 0.2469 x6  1 Ag 2.06, 1 Pa 2.15, 1 Na 2.29

Results
- Mass density: 6.3 g cm⁻³
- Raw total energy: -6.130 eV/atom
- Energy relative to the elements, uncorrected: -1306 meV per atom
- Magnetization: 0.116 μB/atom